This record from Alexandria describes Zr2FeRhC after structural relaxation. The functional is PBE.

The structure in CIF format:
```
data_Zr2FeRhC
_symmetry_space_group_name_H-M 'P 4/m m m'
_symmetry_Int_Tables_number 123
_symmetry_space_group_name_Hall '-P 4 2'
_cell_length_a 4.5984
_cell_length_b 4.5984
_cell_length_c 3.6330
_cell_angle_alpha 90.00
_cell_angle_beta 90.00
_cell_angle_gamma 90.00
loop_
_atom_site_label
_atom_site_type_symbol
_atom_site_fract_x
_atom_site_fract_y
_atom_site_fract_z
Zr1 Zr 0.0000 0.5000 0.0000
Fe1 Fe 0.0000 0.0000 0.5000
Rh1 Rh 0.5000 0.5000 0.5000
C1 C 0.0000 0.0000 0.0000
```



This record from Alexandria describes FeRu2C after structural relaxation. The functional is PBE.

The structure in CIF format:
```
data_FeRu2C
_symmetry_space_group_name_H-M 'I -4 2 d'
_symmetry_Int_Tables_number 122
_symmetry_space_group_name_Hall 'I -4 2bw'
_cell_length_a 4.9732
_cell_length_b 4.9732
_cell_length_c 9.2309
_cell_angle_alpha 90.00
_cell_angle_beta 90.00
_cell_angle_gamma 90.00
loop_
_atom_site_label
_atom_site_type_symbol
_atom_site_fract_x
_atom_site_fract_y
_atom_site_fract_z
Fe1 Fe 0.0000 0.0000 0.0000
Ru1 Ru 0.1992 0.2500 0.6250
C1 C 0.0000 0.0000 0.5000
```



This record from Alexandria describes Fe2RuC after structural relaxation. The functional is PBE.

The structure in CIF format:
```
data_Fe2RuC
_symmetry_space_group_name_H-M 'I -4 2 d'
_symmetry_Int_Tables_number 122
_symmetry_space_group_name_Hall 'I -4 2bw'
_cell_length_a 4.8086
_cell_length_b 4.8086
_cell_length_c 8.8578
_cell_angle_alpha 90.00
_cell_angle_beta 90.00
_cell_angle_gamma 90.00
loop_
_atom_site_label
_atom_site_type_symbol
_atom_site_fract_x
_atom_site_fract_y
_atom_site_fract_z
Fe1 Fe 0.1700 0.2500 0.1250
Ru1 Ru 0.0000 0.0000 0.5000
C1 C 0.0000 0.0000 0.0000
```



Number 1: E_form -0.482 eV/atom, uncorrected energy -8.9089 eV/atom, total moment 1.084 μB/cell. Number 2: E_form 0.815 eV/atom, uncorrected energy -8.2447 eV/atom, total moment 0.001 μB/cell. Number 3: E_form 0.806 eV/atom, uncorrected energy -8.0507 eV/atom, total moment 0.000 μB/cell.